No. 1
PrEuAgPt PBE-GGA optimized geometry; energy relative to the elements = -623 meV/atom; space-group type = No. 216; crystal system = cubic
1.0
-0.511 1.963 4.797
0.474 -3.111 4.151
4.164 0.412 3.102
Pr Ag Eu Pt
1 1 1 1
Direct
0.000 0.000 0.000
0.250 0.250 0.250
0.500 0.500 0.500
0.750 0.750 0.750



No. 2
PrEuAgRu PBE-GGA optimized geometry; energy relative to the elements = -69 meV/atom; space-group type = No. 216; crystal system = cubic
1.0
5.138 0.000 0.000
2.569 4.450 0.000
2.569 1.483 4.195
Eu Ru Pr Ag
1 1 1 1
Direct
0.000 0.000 0.000
0.750 0.750 0.750
0.500 0.500 0.500
0.250 0.250 0.250



No. 3
PrEuAgSb PBE-GGA optimized geometry; space-group type = No. 216; energy relative to the elements, uncorrected = -2.5 eV per formula unit; crystal system = cubic
1.0
-2.895 -1.611 -4.320
-4.534 -2.930 0.701
-4.864 2.230 -1.003
Ag Sb Pr Eu
1 1 1 1
Direct
0.750 0.750 0.750
0.250 0.250 0.250
0.500 0.500 0.500
0.000 0.000 0.000



No. 4
PrEuSiAg PBE-GGA optimized geometry; space-group type = No. 216; energy relative to the elements, uncorrected = -1.6 eV per formula unit; crystal system = cubic
1.0
5.267 0.000 0.000
2.633 4.561 0.000
2.633 1.520 4.300
Pr Si Ag Eu
1 1 1 1
Direct
0.500 0.500 0.500
0.750 0.750 0.750
0.250 0.250 0.250
0.000 0.000 0.000



No. 5
PrEuAgSn PBE-GGA optimized geometry; energy relative to the elements = -533 meV/atom; space-group type = No. 216; crystal system = cubic
1.0
-5.432 0.281 -0.499
-2.534 -2.846 -3.913
-3.091 -4.305 1.321
Pr Sn Ag Eu
1 1 1 1
Direct
0.000 0.000 0.000
0.250 0.250 0.250
0.750 0.750 0.750
0.500 0.500 0.500



No. 6
PrEuTlAg PBE-GGA optimized geometry; energy relative to the elements = -326 meV/atom; space-group type = No. 216; crystal system = cubic
1.0
5.485 0.000 0.000
2.742 4.750 0.000
2.742 1.583 4.478
Eu Ag Pr Tl
1 1 1 1
Direct
0.000 0.000 0.000
0.750 0.750 0.750
0.500 0.500 0.500
0.250 0.250 0.250



No. 7
EuAg4Pt PBE-GGA optimized geometry; energy relative to the elements = -179 meV/atom; space-group type = No. 216; crystal system = cubic
1.0
5.540 0.000 0.000
2.770 4.798 0.000
2.770 1.599 4.523
Pt Ag Eu
1 4 1
Direct
0.250 0.250 0.250
0.127 0.624 0.624
0.624 0.624 0.127
0.624 0.624 0.624
0.624 0.127 0.624
0.000 0.000 0.000



No. 8
Eu2AgPt PBE-GGA optimized geometry; energy relative to the elements = -630 meV/atom; space-group type = No. 123; crystal system = tetragonal
1.0
3.651 0.000 0.000
0.000 3.651 0.000
0.000 0.000 7.597
Ag Pt Eu
1 1 2
Direct
0.500 0.500 0.500
0.500 0.500 0.000
0.000 0.000 0.227
0.000 0.000 0.773



No. 9
Eu2AgPt PBE-GGA optimized geometry; energy relative to the elements = -529 meV/atom; space-group type = No. 166; crystal system = trigonal
1.0
-0.646 -0.390 4.215
2.775 -2.213 2.395
4.623 5.307 3.375
Eu Pt Ag
2 1 1
Direct
0.740 0.740 0.781
0.260 0.260 0.219
0.000 0.000 0.000
0.500 0.500 0.500



No. 10
Eu2AgPt PBE-GGA optimized geometry; energy relative to the elements = -615 meV/atom; space-group type = No. 225; crystal system = cubic
1.0
-0.332 0.924 -5.109
4.221 -0.462 -3.007
0.365 -3.935 -3.385
Eu Pt Ag
2 1 1
Direct
0.000 0.000 0.000
0.500 0.500 0.500
0.750 0.750 0.750
0.250 0.250 0.250



No. 11
EuAgPt4 PBE-GGA optimized geometry; energy relative to the elements = -556 meV/atom; space-group type = No. 216; crystal system = cubic
1.0
5.405 0.000 0.000
2.702 4.681 0.000
2.702 1.560 4.413
Ag Pt Eu
1 4 1
Direct
0.000 0.000 0.000
0.625 0.124 0.625
0.625 0.625 0.124
0.124 0.625 0.625
0.625 0.625 0.625
0.250 0.250 0.250



No. 12
EuAgPt2 PBE-GGA optimized geometry; energy relative to the elements = -497 meV/atom; space-group type = No. 123; crystal system = tetragonal
1.0
-0.566 3.122 -2.602
-2.122 -2.616 -2.677
-3.695 0.976 1.975
Pt Ag Eu
2 1 1
Direct
0.000 0.000 0.500
0.000 0.500 0.000
0.500 0.000 0.000
0.500 0.500 0.500



What are the magnetization values for these records? In order: 7.12 6.75 7.95 7.24 7.28 7.04 7.00 14.21 14.17 14.18 6.75 6.62 μB per cell.
What are the D(E_F) values for these records? In order: 2.226 2.978 0.711 2.226 2.754 2.846 2.168 4.152 5.363 0.810 2.456 3.759 states/eV per atom.